Computed, not measured: a relaxed structure of NbTe2Cl at the GGA-PBE level of DFT.

Properties
The symmetry is Fm-3m (225). The value obtained for the volume is 22.7 A^3/atom. The value obtained for the uncorrected formation energy is 0.1131 eV/atom.

Lattice parameters (Å, degrees): 5.0463 5.0463 5.0463 60.00 60.00 60.00
Atoms (fractional coordinates):
1 Nb 0.0000 0.0000 0.0000
2 Te 0.2500 0.2500 0.2500
3 Te 0.7500 0.7500 0.7500
4 Cl 0.5000 0.5000 0.5000